DFT (GGA-PBE) results for an optimized crystal structure of Be2Tl2P.

Properties
formation energy from the elements = 0.948 eV per atom
polymorph energy (0 for the lowest one) = 0.506 eV per atom

Geometry as POSCAR:
```
Be2Tl2P
1.0
-2.1024 2.1024 5.6347
2.1024 -2.1024 5.6347
2.1024 2.1024 -5.6347
Be Tl P
2 2 1
Cartesian
0.0000 0.0000 1.0223 Be
0.0000 0.0000 10.2472 Be
2.1024 0.0000 2.8174 Tl
0.0000 2.1024 2.8174 Tl
0.0000 0.0000 5.6347 P
```


DFT (GGA-PBE) results for an optimized crystal structure of Tl3Co.

Properties
formation energy from the elements = 0.613 eV per atom

Geometry as POSCAR:
```
Tl3Co
1.0
5.1899 0.0000 0.0000
0.0000 5.1899 0.0000
0.0000 0.0000 3.6455
Tl Co
3 1
Cartesian
0.0000 0.0000 0.0000 Tl
0.0000 2.5950 1.8228 Tl
2.5950 0.0000 1.8228 Tl
2.5950 2.5950 0.0000 Co
```


DFT (GGA-PBE) results for an optimized crystal structure of Sm6SnSe5.

Properties
uncorrected formation energy = -1.65 eV per atom

Geometry as POSCAR:
```
Sm6SnSe5
1.0
3.6609 -6.3387 0.0000
3.6609 6.3387 0.0000
-2.4369 0.0000 6.9319
Sm Sn Se
6 1 5
Cartesian
-0.0127 2.1437 5.1620 Sm
1.1798 0.0000 1.7452 Sm
-0.0127 -2.1437 5.1620 Sm
4.8975 2.1437 1.7700 Sm
3.7050 0.0000 5.1867 Sm
4.8975 -2.1437 1.7700 Sm
3.6609 0.0000 0.0000 Sn
-1.2185 0.0000 3.4660 Se
3.6609 4.2129 0.0000 Se
2.4424 2.0751 3.4660 Se
2.4424 -2.0751 3.4660 Se
3.6609 -4.2129 0.0000 Se
```


DFT (GGA-PBE) results for an optimized crystal structure of MnZn2Pb.

Properties
formation energy from the elements = 0.301 eV per atom

Geometry as POSCAR:
```
MnZn2Pb
1.0
-2.0515 2.0515 4.3662
2.0515 -2.0515 4.3662
2.0515 2.0515 -4.3662
Mn Zn Pb
1 2 1
Cartesian
0.0000 0.0000 0.0000 Mn
0.0000 0.0000 4.3662 Zn
0.0000 2.0515 2.1831 Zn
2.0515 0.0000 2.1831 Pb
```


DFT (GGA-PBE) results for an optimized crystal structure of Ga2CuAu.

Properties
formation energy from the elements = -0.032 eV per atom
polymorph energy (0 for the lowest one) = 0.065 eV per atom

Geometry as POSCAR:
```
Ga2CuAu
1.0
4.0000 0.0000 0.0000
0.0000 4.0000 0.0000
0.0000 0.0000 4.0173
Ga Cu Au
2 1 1
Cartesian
0.0000 2.0000 0.0000 Ga
2.0000 0.0000 0.0000 Ga
0.0000 0.0000 2.0087 Cu
2.0000 2.0000 2.0087 Au
```


DFT (GGA-PBE) results for an optimized crystal structure of TaTl2As.

Properties
formation energy from the elements = 0.685 eV per atom
polymorph energy (0 for the lowest one) = 0.589 eV per atom

Geometry as POSCAR:
```
TaTl2As
1.0
4.0112 0.0000 0.0000
0.0000 4.0112 0.0000
0.0000 0.0000 5.7301
Ta Tl As
1 2 1
Cartesian
0.0000 0.0000 0.0000 Ta
0.0000 2.0056 2.8650 Tl
2.0056 0.0000 2.8650 Tl
2.0056 2.0056 0.0000 As
```